Record 1
Zr2Co2Tc (PBEsol, relaxed); crystal system = tetragonal; SG = I4/mmm (139); magnetic moment = 2.26 μB/f.u.; uncorrected energy = -8.98 eV per atom; mass density = 8.27 g cm⁻³
1.0
3.221 0.000 0.000
0.000 3.221 0.000
-1.610 -1.610 7.707
Co Zr Tc
2 2 1
direct
0.250 0.750 0.500 Co
0.750 0.250 0.500 Co
0.396 0.396 0.792 Zr
0.604 0.604 0.208 Zr
0.000 0.000 0.000 Tc

=====

Record 2
CoTe2 (PBEsol, relaxed); crystal system = orthorhombic; SG = Pnnm (58); magnetic moment = 0.00 μB/f.u.; uncorrected energy = -5.17 eV per atom; mass density = 8.31 g cm⁻³; uncorrected formation energy = -0.24 eV per atom
1.0
-1.751 1.371 -3.154
0.770 -4.599 -2.427
-5.441 -2.038 2.135
Te Co
4 2
direct
0.000 0.771 0.640 Te
0.000 0.229 0.360 Te
0.500 0.271 0.860 Te
0.500 0.729 0.140 Te
0.500 0.500 0.500 Co
0.000 0.000 0.000 Co

=====

Record 3
CoTe2 (PBEsol, relaxed); crystal system = orthorhombic; SG = Cmcm (63); magnetic moment = 0.00 μB/f.u.; uncorrected energy = -5.08 eV per atom; mass density = 7.86 g cm⁻³; uncorrected formation energy = -0.15 eV per atom
1.0
-3.240 1.941 0.399
-1.651 -1.822 -4.537
-1.171 -6.276 2.947
Te Co
4 2
direct
0.553 0.250 0.106 Te
0.795 0.250 0.591 Te
0.205 0.750 0.409 Te
0.447 0.750 0.894 Te
0.170 0.250 0.340 Co
0.830 0.750 0.660 Co

=====

Record 4
CoTe2 (PBEsol, relaxed); crystal system = hexagonal; SG = P6_3/mmc (194); magnetic moment = 1.01 μB/f.u.; uncorrected energy = -4.51 eV per atom; mass density = 7.85 g cm⁻³; uncorrected formation energy = 0.42 eV per atom
1.0
4.251 0.000 0.000
-2.126 3.682 0.000
0.000 0.000 8.491
Co Te
2 4
direct
0.333 0.667 0.250 Co
0.667 0.333 0.750 Co
0.000 0.000 0.500 Te
0.000 0.000 0.000 Te
0.333 0.667 0.750 Te
0.667 0.333 0.250 Te

=====

Record 5
CoTe2 (PBEsol, relaxed); crystal system = cubic; SG = Pa-3 (205); magnetic moment = 0.00 μB/f.u.; uncorrected energy = -5.17 eV per atom; mass density = 8.75 g cm⁻³; uncorrected formation energy = -0.24 eV per atom
1.0
-4.911 3.481 1.495
-3.750 -4.122 -2.723
-0.535 -3.060 5.368
Te Co
8 4
direct
0.364 0.136 0.864 Te
0.636 0.636 0.636 Te
0.364 0.364 0.364 Te
0.136 0.636 0.864 Te
0.636 0.864 0.136 Te
0.136 0.864 0.364 Te
0.864 0.364 0.136 Te
0.864 0.136 0.636 Te
0.000 0.500 0.500 Co
0.500 0.500 0.000 Co
0.000 0.000 0.000 Co
0.500 0.000 0.500 Co

=====

Record 6
CoTe3 (PBEsol, relaxed); crystal system = orthorhombic; SG = Cmmm (65); magnetic moment = 0.00 μB/f.u.; uncorrected energy = -4.42 eV per atom; mass density = 7.93 g cm⁻³; uncorrected formation energy = 0.16 eV per atom
1.0
3.091 0.097 0.000
-0.082 3.092 0.000
0.000 0.000 9.667
Te Co
3 1
direct
0.000 0.000 0.500 Te
0.500 0.500 0.168 Te
0.500 0.500 0.832 Te
0.000 0.000 0.000 Co

=====

Record 7
Co5Te4 (PBEsol, relaxed); crystal system = tetragonal; SG = I4/mmm (139); magnetic moment = 4.03 μB/f.u.; uncorrected energy = -5.72 eV per atom; mass density = 8.38 g cm⁻³; uncorrected formation energy = 0.15 eV per atom
1.0
-3.090 1.040 -1.415
-2.315 -5.534 -3.475
-4.764 -1.580 4.782
Co Te
5 4
direct
0.633 0.000 0.733 Co
0.367 0.267 0.000 Co
0.633 0.733 0.000 Co
0.000 0.000 0.000 Co
0.367 0.000 0.267 Co
0.725 0.275 0.275 Te
0.000 0.275 0.725 Te
0.000 0.725 0.275 Te
0.275 0.725 0.725 Te

=====

Record 8
Co2Te (PBEsol, relaxed); crystal system = orthorhombic; polymorph energy (0 for the lowest one) = 0 meV/atom; SG = Cmcm (63); magnetic moment = 2.14 μB/f.u.; uncorrected energy = -6.38 eV per atom; mass density = 8.10 g cm⁻³; uncorrected formation energy = -0.05 eV per atom
1.0
3.559 0.000 0.000
0.000 3.586 0.000
-1.779 0.000 7.887
Co Te
4 2
direct
0.550 0.750 0.100 Co
0.048 0.250 0.097 Co
0.450 0.250 0.900 Co
0.952 0.750 0.903 Co
0.339 0.750 0.677 Te
0.661 0.250 0.323 Te

=====

Record 9
Co2Te (PBEsol, relaxed); crystal system = tetragonal; polymorph energy (0 for the lowest one) = 307 meV/atom; SG = I4/mcm (140); magnetic moment = 1.93 μB/f.u.; uncorrected energy = -6.07 eV per atom; mass density = 9.29 g cm⁻³; uncorrected formation energy = 0.26 eV per atom
1.0
4.844 0.000 0.000
-2.422 4.457 -0.016
0.000 -2.618 4.076
Te Co
2 4
direct
0.750 0.500 0.750 Te
0.250 0.500 0.250 Te
0.175 0.000 0.325 Co
0.325 0.000 0.825 Co
0.825 0.000 0.675 Co
0.675 0.000 0.175 Co

=====

Record 10
CoTe2 (PBEsol, relaxed); crystal system = hexagonal; SG = P6/mmm (191); magnetic moment = 1.70 μB/f.u.; uncorrected energy = -3.93 eV per atom; mass density = 7.53 g cm⁻³; uncorrected formation energy = 1.00 eV per atom
1.0
-1.331 -2.638 -0.330
3.282 -2.084 3.433
-4.479 2.058 1.613
Co Te
1 2
direct
0.000 0.000 0.000 Co
0.500 0.667 0.333 Te
0.500 0.333 0.667 Te

=====

Record 11
Co2Te (PBEsol, relaxed); crystal system = hexagonal; polymorph energy (0 for the lowest one) = 477 meV/atom; SG = P6/mmm (191); magnetic moment = 2.82 μB/f.u.; uncorrected energy = -5.90 eV per atom; mass density = 9.07 g cm⁻³; uncorrected formation energy = 0.43 eV per atom
1.0
3.414 0.000 0.000
0.000 3.900 0.000
0.000 -1.950 3.377
Te Co
1 2
direct
0.000 0.000 0.000 Te
0.500 0.667 0.333 Co
0.500 0.333 0.667 Co

=====

Record 12
CoTe3 (PBEsol, relaxed); crystal system = orthorhombic; SG = Cmmm (65); magnetic moment = 0.00 μB/f.u.; uncorrected energy = -4.65 eV per atom; mass density = 8.02 g cm⁻³; uncorrected formation energy = -0.07 eV per atom
1.0
3.693 0.000 0.000
0.000 5.336 0.014
0.000 -2.642 4.636
Te Co
3 1
direct
0.000 0.500 0.500 Te
0.500 0.181 0.819 Te
0.500 0.819 0.181 Te
0.000 0.000 0.000 Co

=====

Record 13
CoTe3 (PBEsol, relaxed); crystal system = orthorhombic; SG = Imm2 (44); magnetic moment = 0.00 μB/f.u.; uncorrected energy = -4.58 eV per atom; mass density = 7.34 g cm⁻³; uncorrected formation energy = 0.00 eV per atom
1.0
3.553 0.000 0.000
0.000 5.375 0.000
-1.777 -2.688 5.235
Te Co
3 1
direct
0.500 0.369 0.000 Te
0.654 0.035 0.307 Te
0.346 0.728 0.693 Te
0.000 0.035 0.000 Co

=====

Record 14
Co2Te (PBEsol, relaxed); crystal system = tetragonal; polymorph energy (0 for the lowest one) = 413 meV/atom; SG = P4/mmm (123); magnetic moment = 1.40 μB/f.u.; uncorrected energy = -5.97 eV per atom; mass density = 8.93 g cm⁻³; uncorrected formation energy = 0.36 eV per atom
1.0
3.480 0.000 0.000
0.000 3.480 0.000
0.000 0.000 3.770
Te Co
1 2
direct
0.000 0.000 0.000 Te
0.000 0.500 0.500 Co
0.500 0.000 0.500 Co

=====

Record 15
CoTe (PBEsol, relaxed); crystal system = tetragonal; SG = I4_1/amd (141); magnetic moment = 0.55 μB/f.u.; uncorrected energy = -5.10 eV per atom; mass density = 9.20 g cm⁻³; uncorrected formation energy = 0.53 eV per atom
1.0
-1.242 -3.478 0.246
2.859 -1.165 -2.042
1.842 1.664 4.985
Co Te
2 2
direct
0.250 0.750 0.500 Co
0.000 0.000 0.000 Co
0.750 0.250 0.500 Te
0.500 0.500 0.000 Te